(1)
Cs2LaPrS4, relaxed, DFT GGA-PBE; V = 32.67 Å³/atom; uncorrected energy = -42.69 eV for the cell shown; size of the total moment = 0.00 μB/atom; E_form (uncorrected) = -14.767 eV per formula unit
1.0
4.318 0.000 0.000
0.000 7.480 0.126
0.000 -2.627 8.047
Pr S Cs La
1 4 2 1
direct
0.500 0.500 0.000
0.500 0.231 0.187
0.500 0.769 0.813
0.000 0.273 0.813
0.000 0.727 0.187
0.000 0.500 0.500
0.500 0.000 0.500
0.000 0.000 0.000


(2)
Cs3LaPr2Se6, relaxed, DFT GGA-PBE; V = 36.15 Å³/atom; uncorrected energy = -59.03 eV for the cell shown; size of the total moment = 0.00 μB/atom; E_form (uncorrected) = -21.071 eV per formula unit
1.0
7.718 -0.001 0.000
-3.858 6.685 0.000
-1.287 -2.228 8.408
Cs Se Pr La
3 6 2 1
direct
0.167 0.833 0.500
0.500 0.500 0.500
0.833 0.167 0.500
0.064 0.399 0.191
0.729 0.729 0.191
0.399 0.064 0.191
0.271 0.271 0.809
0.936 0.601 0.809
0.601 0.936 0.809
0.667 0.333 0.000
0.333 0.667 0.000
0.000 0.000 0.000


(3)
Cs3La2PrSe6, relaxed, DFT GGA-PBE; V = 36.43 Å³/atom; uncorrected energy = -59.52 eV for the cell shown; size of the total moment = 0.00 μB/atom; E_form (uncorrected) = -21.413 eV per formula unit
1.0
7.756 -0.001 0.000
-3.877 6.717 0.000
-1.293 -2.239 8.391
Pr Se La Cs
1 6 2 3
direct
0.000 0.000 0.000
0.605 0.936 0.809
0.395 0.064 0.191
0.064 0.395 0.191
0.732 0.732 0.191
0.268 0.268 0.809
0.936 0.605 0.809
0.333 0.667 0.000
0.667 0.333 0.000
0.500 0.500 0.500
0.167 0.833 0.500
0.833 0.167 0.500


(4)
Cs4La3PrSe8, relaxed, DFT GGA-PBE; V = 36.51 Å³/atom; uncorrected energy = -79.52 eV for the cell shown; size of the total moment = 0.00 μB/atom; E_form (uncorrected) = -28.665 eV per formula unit
1.0
8.967 0.000 0.000
0.000 9.840 0.606
-4.484 -4.480 6.343
Cs Se La Pr
4 8 3 1
direct
0.000 0.000 0.500
0.000 0.000 0.000
0.500 0.000 0.000
0.500 0.000 0.500
0.229 0.691 0.459
0.268 0.309 0.038
0.732 0.691 0.962
0.771 0.309 0.541
0.270 0.309 0.539
0.771 0.309 0.038
0.730 0.691 0.461
0.229 0.691 0.962
0.000 0.500 0.500
0.500 0.500 0.000
0.500 0.500 0.500
0.000 0.500 0.000


(5)
CsLa2Pr3Te6, relaxed, DFT GGA-PBE; V = 35.82 Å³/atom; uncorrected energy = -60.94 eV for the cell shown; size of the total moment = 0.00 μB/atom; E_form (uncorrected) = -17.040 eV per formula unit
1.0
-1.866 -1.386 -3.933
-1.218 -8.719 3.650
-7.677 5.562 4.336
Te Cs La Pr
6 1 2 3
direct
0.322 0.915 0.645
0.678 0.085 0.355
0.997 0.725 0.993
0.003 0.275 0.007
0.665 0.583 0.330
0.335 0.417 0.670
0.500 0.000 0.000
0.169 0.340 0.338
0.831 0.660 0.662
0.839 0.181 0.679
0.500 0.500 0.000
0.161 0.819 0.321


(6)
Cs4LaPr3Te8, relaxed, DFT GGA-PBE; V = 43.24 Å³/atom; uncorrected energy = -70.84 eV for the cell shown; size of the total moment = 0.00 μB/atom; E_form (uncorrected) = -23.029 eV per formula unit
1.0
9.448 0.000 0.000
0.000 10.459 0.710
-4.724 -4.725 6.681
Cs Pr Te La
4 3 8 1
direct
0.000 0.000 0.500
0.500 0.000 0.000
0.000 0.000 0.000
0.500 0.000 0.500
0.500 0.500 0.000
0.000 0.500 0.500
0.500 0.500 0.500
0.233 0.696 0.466
0.268 0.304 0.536
0.732 0.696 0.464
0.233 0.696 0.963
0.767 0.304 0.037
0.730 0.696 0.963
0.767 0.304 0.534
0.270 0.304 0.037
0.000 0.500 0.000


(7)
Cs3La3PrTe8, relaxed, DFT GGA-PBE; V = 46.31 Å³/atom; uncorrected energy = -68.18 eV for the cell shown; size of the total moment = 0.00 μB/atom; E_form (uncorrected) = -20.923 eV per formula unit
1.0
-8.929 -2.848 0.453
5.755 -1.433 7.280
-3.257 9.969 -1.535
Te La Pr Cs
8 3 1 3
direct
0.230 0.461 0.694
0.267 0.036 0.306
0.230 0.964 0.694
0.733 0.964 0.694
0.770 0.539 0.306
0.732 0.465 0.697
0.770 0.036 0.306
0.268 0.535 0.303
0.500 0.000 0.500
0.000 0.500 0.500
0.500 0.500 0.500
0.000 0.000 0.500
0.000 0.500 0.000
0.500 0.500 0.000
0.000 0.000 0.000


(8)
Cs3LaPr2Te6, relaxed, DFT GGA-PBE; V = 43.29 Å³/atom; uncorrected energy = -53.25 eV for the cell shown; size of the total moment = 0.00 μB/atom; E_form (uncorrected) = -17.356 eV per formula unit
1.0
-2.418 4.500 -6.399
5.115 -6.295 -1.120
-7.883 -4.863 1.304
Te Cs La Pr
6 3 1 2
direct
0.401 0.065 0.196
0.730 0.730 0.196
0.270 0.270 0.804
0.065 0.401 0.196
0.599 0.935 0.804
0.935 0.599 0.804
0.833 0.167 0.500
0.500 0.500 0.500
0.167 0.833 0.500
0.000 0.000 0.000
0.333 0.667 0.000
0.667 0.333 0.000


(9)
Cs4La3PrTe8, relaxed, DFT GGA-PBE; V = 43.73 Å³/atom; uncorrected energy = -71.80 eV for the cell shown; size of the total moment = 0.00 μB/atom; E_form (uncorrected) = -23.686 eV per formula unit
1.0
9.510 0.000 0.000
0.000 10.467 0.668
-4.755 -4.753 6.726
Cs Te Pr La
4 8 1 3
direct
0.000 0.000 0.500
0.500 0.000 0.000
0.000 0.000 0.000
0.500 0.000 0.500
0.734 0.696 0.965
0.769 0.304 0.538
0.769 0.304 0.035
0.266 0.304 0.035
0.231 0.696 0.462
0.268 0.304 0.536
0.231 0.696 0.965
0.732 0.696 0.464
0.000 0.500 0.000
0.000 0.500 0.500
0.500 0.500 0.000
0.500 0.500 0.500


(10)
Cs2LaPt, relaxed, DFT GGA-PBE; V = 33.26 Å³/atom; uncorrected energy = -9.84 eV for the cell shown; formation energy from the elements = 0.708 eV per atom; size of the total moment = 0.00 μB/atom
1.0
0.000 4.052 4.052
4.052 0.000 4.052
4.052 4.052 0.000
Pt Cs La
1 2 1
direct
0.500 0.500 0.500
0.750 0.750 0.750
0.250 0.250 0.250
0.000 0.000 0.000


(11)
Cs2La2Pt, relaxed, DFT GGA-PBE; V = 45.06 Å³/atom; uncorrected energy = -36.08 eV for the cell shown; formation energy from the elements = -0.088 eV per atom; size of the total moment = 0.00 μB/atom
1.0
-2.024 6.951 -2.735
-1.160 -3.092 -6.999
-7.174 -1.381 1.798
Pt La Cs
2 4 4
direct
0.500 0.500 0.000
0.000 0.000 0.000
0.320 0.820 0.000
0.820 0.680 0.000
0.180 0.320 0.000
0.680 0.180 0.000
0.796 0.296 0.500
0.704 0.796 0.500
0.204 0.704 0.500
0.296 0.204 0.500


(12)
CsLaPt10, relaxed, DFT GGA-PBE; V = 19.64 Å³/atom; uncorrected energy = -70.60 eV for the cell shown; formation energy from the elements = -0.368 eV per atom; size of the total moment = 0.00 μB/atom
1.0
-0.245 1.666 -4.015
-5.610 -0.235 0.245
-0.210 8.890 3.703
Pt La Cs
10 1 1
direct
0.000 0.500 0.174
0.500 0.744 0.739
0.500 0.256 0.739
0.500 0.500 0.000
0.500 0.744 0.261
0.000 0.500 0.826
0.500 0.256 0.261
0.000 0.000 0.339
0.000 0.000 0.661
0.500 0.000 0.500
0.000 0.500 0.500
0.000 0.000 0.000


(13)
CsLaPt4, relaxed, DFT GGA-PBE; V = 20.99 Å³/atom; uncorrected energy = -33.21 eV for the cell shown; formation energy from the elements = -0.544 eV per atom; size of the total moment = 0.00 μB/atom
1.0
5.627 0.000 0.000
2.813 4.873 0.000
2.813 1.624 4.594
Pt Cs La
4 1 1
direct
0.625 0.126 0.625
0.625 0.625 0.625
0.625 0.625 0.126
0.126 0.625 0.625
0.000 0.000 0.000
0.250 0.250 0.250


(14)
CsLaPtRh2, relaxed, DFT GGA-PBE; V = 26.30 Å³/atom; uncorrected energy = -20.91 eV for the cell shown; formation energy from the elements = 1.123 eV per atom; size of the total moment = 0.00 μB/atom
1.0
-1.809 2.041 4.212
-1.585 -4.711 1.602
4.426 -0.723 2.251
Pt Rh Cs La
1 2 1 1
direct
0.000 0.500 0.000
0.500 0.000 0.000
0.000 0.000 0.500
0.000 0.000 0.000
0.500 0.500 0.500


(15)
CsLaY2Pt, relaxed, DFT GGA-PBE; V = 39.31 Å³/atom; uncorrected energy = -21.68 eV for the cell shown; formation energy from the elements = 0.613 eV per atom; size of the total moment = 0.00 μB/atom
1.0
-4.397 0.871 4.069
-0.011 -5.247 1.111
4.162 0.902 4.303
Y La Pt Cs
2 1 1 1
direct
0.000 0.000 0.500
0.500 0.000 0.000
0.000 0.000 0.000
0.000 0.500 0.000
0.500 0.500 0.500


(16)
Cs2LaPuS4, relaxed, DFT GGA-PBE; V = 31.80 Å³/atom; uncorrected energy = -51.05 eV for the cell shown; size of the total moment = 0.62 μB/atom; E_form (uncorrected) = -13.574 eV per formula unit
1.0
-3.705 1.947 -0.814
-3.490 -6.535 0.251
-0.070 3.132 7.813
S Cs Pu La
4 2 1 1
direct
0.000 0.283 0.820
0.500 0.764 0.814
0.000 0.717 0.180
0.500 0.236 0.186
0.500 0.000 0.500
0.000 0.500 0.500
0.500 0.500 0.000
0.000 0.000 0.000


(17)
Cs3LaPu2S6, relaxed, DFT GGA-PBE; V = 31.22 Å³/atom; uncorrected energy = -80.65 eV for the cell shown; size of the total moment = 0.83 μB/atom; E_form (uncorrected) = -19.733 eV per formula unit
1.0
7.331 -0.001 0.000
-3.664 6.350 0.000
-1.223 -2.117 8.048
Cs S La Pu
3 6 1 2
direct
0.500 0.500 0.500
0.165 0.835 0.500
0.835 0.165 0.500
0.061 0.405 0.182
0.595 0.939 0.818
0.405 0.061 0.182
0.716 0.716 0.182
0.284 0.284 0.818
0.939 0.595 0.818
0.000 0.000 0.000
0.333 0.667 0.000
0.667 0.333 0.000


(18)
Cs3La2PuSe6, relaxed, DFT GGA-PBE; V = 36.06 Å³/atom; uncorrected energy = -67.70 eV for the cell shown; size of the total moment = 0.42 μB/atom; E_form (uncorrected) = -20.048 eV per formula unit
1.0
7.733 -0.001 0.000
-3.865 6.697 0.000
-1.290 -2.234 8.357
Se La Pu Cs
6 2 1 3
direct
0.937 0.611 0.812
0.611 0.937 0.812
0.389 0.063 0.188
0.737 0.737 0.189
0.263 0.263 0.811
0.063 0.389 0.188
0.667 0.333 0.000
0.333 0.667 0.000
0.000 0.000 0.000
0.500 0.500 0.500
0.832 0.168 0.500
0.168 0.832 0.500


(19)
Cs3La3PuTe8, relaxed, DFT GGA-PBE; V = 46.09 Å³/atom; uncorrected energy = -76.97 eV for the cell shown; size of the total moment = 0.27 μB/atom; E_form (uncorrected) = -20.165 eV per formula unit
1.0
-7.934 4.180 -2.753
0.550 -9.362 0.183
-0.697 4.845 9.366
Pu Cs La Te
1 3 3 8
direct
0.000 0.000 0.500
0.500 0.500 0.000
0.000 0.500 0.000
0.000 0.000 0.000
0.500 0.000 0.500
0.500 0.500 0.500
0.000 0.500 0.500
0.257 0.034 0.312
0.222 0.966 0.688
0.778 0.034 0.312
0.732 0.464 0.696
0.778 0.555 0.312
0.743 0.966 0.688
0.222 0.445 0.688
0.268 0.536 0.304


(20)
Cs4La3PuTe8, relaxed, DFT GGA-PBE; V = 43.55 Å³/atom; uncorrected energy = -79.93 eV for the cell shown; size of the total moment = 0.31 μB/atom; E_form (uncorrected) = -22.268 eV per formula unit
1.0
-8.136 4.416 2.178
-0.960 -5.976 8.527
8.036 5.005 -0.891
Pu La Te Cs
1 3 8 4
direct
0.000 0.500 0.000
0.500 0.500 0.500
0.000 0.500 0.500
0.500 0.500 0.000
0.268 0.303 0.535
0.732 0.697 0.465
0.772 0.307 0.544
0.737 0.693 0.965
0.772 0.307 0.035
0.228 0.693 0.965
0.263 0.307 0.035
0.228 0.693 0.456
0.500 0.000 0.500
0.000 0.000 0.000
0.500 0.000 0.000
0.000 0.000 0.500